Density functional theory data (PBE with a Hubbard U) for an optimized crystal structure of MnSbPtO6.

a b c (Å): 5.250 5.250 9.099
angles (deg): 90.00 90.00 120.00
Fractional coordinates of all 18 atoms:
Sb 0.333 0.667 0.750
Sb 0.667 0.333 0.250
O 0.351 0.998 0.131
O 0.998 0.351 0.631
O 0.352 0.351 0.869
O 0.351 0.352 0.369
Mn 0.000 0.000 0.500
O 0.648 0.998 0.369
O 0.002 0.649 0.369
O 0.002 0.352 0.131
O 0.352 0.002 0.631
O 0.649 0.648 0.631
O 0.648 0.649 0.131
O 0.649 0.002 0.869
Pt 0.667 0.333 0.750
O 0.998 0.648 0.869
Mn 0.000 0.000 0.000
Pt 0.333 0.667 0.250

Results
VASP energy	-114.45	eV per cell
symmetry	No. 163
crystal system	trigonal